[1]
Below is crystalline PrGaSe at its relaxed geometry, with properties calculated at the PBE level.

## Properties
DOS at the Fermi energy in states/eV per cell: 4.38
Raw formation energy in meV per atom: -1096

Structure (CIF):
```
data_PrGaSe
_space_group_name_H-M_alt 'R -3 m'
_space_group_IT_number 166
_space_group_name_Hall '-R 3 2"'
_cell_length_a 4.3412
_cell_length_b 4.3412
_cell_length_c 33.5622
_cell_angle_alpha 90.00
_cell_angle_beta 90.00
_cell_angle_gamma 120.00
loop_
_atom_site_label
_atom_site_fract_x
_atom_site_fract_y
_atom_site_fract_z
Pr1 0.0000 0.0000 0.0720
Ga1 0.0000 0.0000 0.3360
Se1 0.0000 0.0000 0.2197
```

[2]
Below is crystalline Pr6GaTe3Se2 at its relaxed geometry, with properties calculated at the PBE level.

## Properties
DOS at the Fermi energy in states/eV per cell: 11.38
Raw formation energy in meV per atom: -1475

Structure (CIF):
```
data_Pr6GaTe3Se2
_space_group_name_H-M_alt 'C 1 2/m 1'
_space_group_IT_number 12
_cell_length_a 7.5977
_cell_length_b 13.1312
_cell_length_c 7.7970
_cell_angle_alpha 90.00
_cell_angle_beta 108.89
_cell_angle_gamma 90.00
loop_
_space_group_symop_operation_xyz
'x,y,z'
'-x,-y,-z'
'-x,y,-z'
'x,-y,z'
'x+1/2,y+1/2,z'
'-x+1/2,-y+1/2,-z'
'-x+1/2,y+1/2,-z'
'x+1/2,-y+1/2,z'
loop_
_atom_site_label
_atom_site_fract_x
_atom_site_fract_y
_atom_site_fract_z
Pr1 0.2390 0.1640 0.2257
Pr2 0.2474 0.5000 0.2252
Ga1 0.0000 0.0000 0.0000
Te1 0.0000 0.1679 0.5000
Te2 0.0000 0.5000 0.5000
Se1 0.0000 0.3336 0.0000
```

[3]
Below is crystalline Pr4GaTe2Se at its relaxed geometry, with properties calculated at the PBE level.

## Properties
DOS at the Fermi energy in states/eV per cell: 3.21
Raw formation energy in meV per atom: -1363

Structure (CIF):
```
data_Pr4GaTe2Se
_space_group_name_H-M_alt 'P 1 2/m 1'
_space_group_IT_number 10
_cell_length_a 7.6223
_cell_length_b 4.3910
_cell_length_c 7.7832
_cell_angle_alpha 90.00
_cell_angle_beta 108.91
_cell_angle_gamma 90.00
loop_
_space_group_symop_operation_xyz
'x,y,z'
'-x,-y,-z'
'-x,y,-z'
'x,-y,z'
loop_
_atom_site_label
_atom_site_fract_x
_atom_site_fract_y
_atom_site_fract_z
Pr1 0.2399 0.0000 0.2301
Pr2 0.2524 0.5000 0.7733
Ga1 0.0000 0.5000 0.0000
Te1 0.0000 0.0000 0.5000
Te2 0.5000 0.5000 0.5000
Se1 0.5000 0.0000 0.0000
```

[4]
Below is crystalline Pr8GaTe4Se3 at its relaxed geometry, with properties calculated at the PBE level.

## Properties
DOS at the Fermi energy in states/eV per cell: 24.18
Raw formation energy in meV per atom: -1519

Structure (CIF):
```
data_Pr8GaTe4Se3
_space_group_name_H-M_alt 'R -3 m'
_space_group_IT_number 166
_space_group_name_Hall '-R 3 2"'
_cell_length_a 8.7449
_cell_length_b 8.7449
_cell_length_c 22.1149
_cell_angle_alpha 90.00
_cell_angle_beta 90.00
_cell_angle_gamma 120.00
loop_
_atom_site_label
_atom_site_fract_x
_atom_site_fract_y
_atom_site_fract_z
Pr1 0.0000 0.0000 0.2405
Pr2 0.0048 0.5024 0.2415
Ga1 0.0000 0.0000 0.5000
Te1 0.0000 0.0000 0.0000
Te2 0.0000 0.5000 0.0000
Se1 0.0000 0.5000 0.5000
```

[5]
Below is crystalline Pr3Ga4Si at its relaxed geometry, with properties calculated at the PBE level.

## Properties
DOS at the Fermi energy in states/eV per cell: 9.59
Raw formation energy in meV per atom: -432

Structure (CIF):
```
data_Pr3Ga4Si
_space_group_name_H-M_alt 'I m m m'
_space_group_IT_number 71
_space_group_name_Hall '-I 2 2'
_cell_length_a 4.6375
_cell_length_b 7.2692
_cell_length_c 12.2098
_cell_angle_alpha 90.00
_cell_angle_beta 90.00
_cell_angle_gamma 90.00
loop_
_atom_site_label
_atom_site_fract_x
_atom_site_fract_y
_atom_site_fract_z
Pr1 0.0000 0.0000 0.0000
Pr2 0.0000 0.5000 0.1742
Ga1 0.0000 0.2881 0.3849
Si1 0.0000 0.0000 0.5000
```

[6]
Below is crystalline Pr6Ga2Si at its relaxed geometry, with properties calculated at the PBE level.

## Properties
DOS at the Fermi energy in states/eV per cell: 41.75
Polymorph energy (0 for the lowest one) in meV/atom: 0
Raw formation energy in meV per atom: -359

Structure (CIF):
```
data_Pr6Ga2Si
_space_group_name_H-M_alt 'I m m m'
_space_group_IT_number 71
_space_group_name_Hall '-I 2 2'
_cell_length_a 9.9603
_cell_length_b 10.2056
_cell_length_c 10.4992
_cell_angle_alpha 90.00
_cell_angle_beta 90.00
_cell_angle_gamma 90.00
loop_
_atom_site_label
_atom_site_fract_x
_atom_site_fract_y
_atom_site_fract_z
Pr1 0.0000 0.1955 0.2466
Pr2 0.2122 0.5000 0.3306
Pr3 0.2387 0.3264 0.0000
Ga1 0.0000 0.3630 0.5000
Ga2 0.0000 0.5000 0.1216
Si1 0.0000 0.0000 0.0000
Si2 0.0000 0.0000 0.5000
```